# 1
Compound: La2Pm2Ge3
Source: Alexandria
Functional: GGA-PBE
Structure: optimized geometry

a b c (Å): 7.601 7.601 7.723
angles (deg): 103.69 103.69 33.48
Atoms (fractional coordinates):
La: 0.124 0.124 0.383
La: 0.876 0.876 0.617
Pm: 0.353 0.353 0.152
Pm: 0.647 0.647 0.848
Ge: 0.265 0.265 0.761
Ge: 0.500 0.500 0.500
Ge: 0.735 0.735 0.239

Computed properties:
SG	No. 12
energy	-5.3501	eV/atom

***

# 2
Compound: K2SiRu
Source: Alexandria
Functional: GGA-PBE
Structure: optimized geometry

a b c (Å): 10.338 10.338 3.780
angles (deg): 100.21 100.21 17.04
Atoms (fractional coordinates):
K: 0.148 0.148 0.151
K: 0.852 0.852 0.849
Si: 0.000 0.000 0.500
Ru: 0.500 0.500 0.000

Computed properties:
SG	No. 12
energy relative to the elements, uncorrected	0.59	eV/f.u.
energy	-4.0772	eV/atom

***

# 3
Compound: BaAsOs2
Source: Alexandria
Functional: GGA-PBE
Structure: optimized geometry

a b c (Å): 3.055 4.227 6.755
angles (deg): 90.00 99.05 90.00
Atoms (fractional coordinates):
Ba: 0.000 0.000 0.000
As: 0.379 0.500 0.681
Os: 0.385 0.000 0.469
Os: 0.791 0.500 0.370

Computed properties:
SG	No. 6
energy	-6.9240	eV/atom

***

# 4
Compound: Ac2Al4SnAu3
Source: Alexandria
Functional: GGA-PBE
Structure: optimized geometry

a b c (Å): 4.537 4.537 11.025
angles (deg): 90.00 90.00 90.00
Atoms (fractional coordinates):
Ac: 0.000 0.500 0.244
Ac: 0.500 0.000 0.756
Al: 0.000 0.000 0.000
Al: 0.000 0.500 0.645
Al: 0.500 0.000 0.355
Al: 0.500 0.500 0.000
Sn: 0.000 0.000 0.500
Au: 0.000 0.500 0.877
Au: 0.500 0.000 0.123
Au: 0.500 0.500 0.500

Computed properties:
SG	No. 115
energy	-4.3769	eV/atom

***

It is found that the D(E_F) values, taken in the order of the records, are 2.403, 3.230, 4.070, 3.697 states/eV/f.u..